No. 1
A relaxed ZrHg4Pt crystal, computed with PBE-GGA. Values from VASP.

Geometry as Quantum ESPRESSO input:
```
&SYSTEM
  ibrav = 0, nat = 6, ntyp = 3
/
ATOMIC_SPECIES
Zr 91.22 Zr.upf
Hg 200.59 Hg.upf
Pt 195.08 Pt.upf
CELL_PARAMETERS angstrom
-2.387 -4.434 2.637
-5.466 0.218 1.546
-3.850 -3.184 -2.712
ATOMIC_POSITIONS crystal
Zr 0.000 0.000 0.000
Hg 0.875 0.375 0.375
Hg 0.375 0.375 0.875
Hg 0.375 0.875 0.375
Hg 0.375 0.375 0.375
Pt 0.750 0.750 0.750
```

---

No. 2
A relaxed Zr2Hg2Pt crystal, computed with PBE-GGA. Values from VASP.

Geometry as Quantum ESPRESSO input:
```
&SYSTEM
  ibrav = 0, nat = 10, ntyp = 3
/
ATOMIC_SPECIES
Zr 91.22 Zr.upf
Hg 200.59 Hg.upf
Pt 195.08 Pt.upf
CELL_PARAMETERS angstrom
-4.308 5.033 -2.919
-5.805 -3.472 2.579
0.218 2.150 3.385
ATOMIC_POSITIONS crystal
Zr 0.169 0.669 0.500
Zr 0.669 0.831 0.500
Zr 0.831 0.331 0.500
Zr 0.331 0.169 0.500
Hg 0.363 0.863 0.000
Hg 0.863 0.637 0.000
Hg 0.637 0.137 0.000
Hg 0.137 0.363 0.000
Pt 0.000 0.000 0.000
Pt 0.500 0.500 0.000
```

---

No. 3
A relaxed Zr4HgPt crystal, computed with PBE-GGA. Values from VASP.

Geometry as Quantum ESPRESSO input:
```
&SYSTEM
  ibrav = 0, nat = 6, ntyp = 3
/
ATOMIC_SPECIES
Zr 91.22 Zr.upf
Hg 200.59 Hg.upf
Pt 195.08 Pt.upf
CELL_PARAMETERS angstrom
0.000 3.990 3.990
3.990 0.000 3.990
3.990 3.990 0.000
ATOMIC_POSITIONS crystal
Zr 0.876 0.375 0.375
Zr 0.375 0.375 0.876
Zr 0.375 0.876 0.375
Zr 0.375 0.375 0.375
Hg 0.750 0.750 0.750
Pt 0.000 0.000 0.000
```

---

No. 4
A relaxed Zr12Hg3Pt crystal, computed with PBE-GGA. Values from VASP.

Geometry as Quantum ESPRESSO input:
```
&SYSTEM
  ibrav = 0, nat = 16, ntyp = 3
/
ATOMIC_SPECIES
Zr 91.22 Zr.upf
Hg 200.59 Hg.upf
Pt 195.08 Pt.upf
CELL_PARAMETERS angstrom
4.459 0.000 0.000
0.000 4.459 0.000
0.000 0.000 17.387
ATOMIC_POSITIONS crystal
Zr 0.500 0.500 0.000
Zr 0.500 0.500 0.243
Zr 0.500 0.500 0.500
Zr 0.500 0.500 0.757
Zr 0.500 0.000 0.117
Zr 0.500 0.000 0.373
Zr 0.500 0.000 0.627
Zr 0.500 0.000 0.883
Zr 0.000 0.500 0.117
Zr 0.000 0.500 0.373
Zr 0.000 0.500 0.627
Zr 0.000 0.500 0.883
Hg 0.000 0.000 0.246
Hg 0.000 0.000 0.500
Hg 0.000 0.000 0.754
Pt 0.000 0.000 0.000
```

---

No. 5
A relaxed ZrHgPt2 crystal, computed with PBE-GGA. Values from VASP.

Geometry as Quantum ESPRESSO input:
```
&SYSTEM
  ibrav = 0, nat = 4, ntyp = 3
/
ATOMIC_SPECIES
Hg 200.59 Hg.upf
Pt 195.08 Pt.upf
Zr 91.22 Zr.upf
CELL_PARAMETERS angstrom
-3.170 2.903 2.606
-1.825 -2.791 3.762
4.745 0.831 -1.436
ATOMIC_POSITIONS crystal
Hg 0.750 0.250 0.500
Pt 0.000 0.000 0.000
Pt 0.500 0.500 0.000
Zr 0.250 0.750 0.500
```

---

No. 6
A relaxed Zr2HgPt2 crystal, computed with PBE-GGA. Values from VASP.

Geometry as Quantum ESPRESSO input:
```
&SYSTEM
  ibrav = 0, nat = 5, ntyp = 3
/
ATOMIC_SPECIES
Zr 91.22 Zr.upf
Hg 200.59 Hg.upf
Pt 195.08 Pt.upf
CELL_PARAMETERS angstrom
-1.851 -0.319 4.299
-4.096 -1.329 -1.862
-1.509 -5.714 1.486
ATOMIC_POSITIONS crystal
Zr 0.750 0.250 0.500
Zr 0.250 0.750 0.500
Hg 0.000 0.000 0.000
Pt 0.375 0.375 0.249
Pt 0.625 0.625 0.751
```

---

No. 7
! PBE-GGA ZrHg2Pt, optimized geometry; values from VASP
! - Excess energy over the best structure of this formula in the dataset: 323 meV/atom
&SYSTEM
  ibrav = 0, nat = 4, ntyp = 3
/
ATOMIC_SPECIES
Hg 200.59 Hg.upf
Pt 195.08 Pt.upf
Zr 91.22 Zr.upf
CELL_PARAMETERS angstrom
-9.402 -2.125 0.242
-8.536 -3.295 3.040
-9.236 -0.232 2.760
ATOMIC_POSITIONS crystal
Hg 0.995 0.995 0.995
Hg 0.505 0.505 0.505
Pt 0.250 0.250 0.250
Zr 0.750 0.750 0.750

---

No. 8
! PBE-GGA ZrHg2Pt, optimized geometry; values from VASP
! - Excess energy over the best structure of this formula in the dataset: 330 meV/atom
&SYSTEM
  ibrav = 0, nat = 4, ntyp = 3
/
ATOMIC_SPECIES
Hg 200.59 Hg.upf
Pt 195.08 Pt.upf
Zr 91.22 Zr.upf
CELL_PARAMETERS angstrom
-5.398 1.155 -1.021
2.137 -4.764 -2.065
-0.766 -1.408 2.456
ATOMIC_POSITIONS crystal
Hg 0.000 0.000 0.000
Hg 0.500 0.500 0.000
Pt 0.500 0.000 0.500
Zr 0.000 0.500 0.500

---

No. 9
! PBE-GGA ZrHg3Pt, optimized geometry; values from VASP
! - Excess energy over the best structure of this formula in the dataset: 0 meV/atom
&SYSTEM
  ibrav = 0, nat = 5, ntyp = 3
/
ATOMIC_SPECIES
Zr 91.22 Zr.upf
Hg 200.59 Hg.upf
Pt 195.08 Pt.upf
CELL_PARAMETERS angstrom
5.138 0.000 0.000
0.000 5.138 0.000
0.000 0.000 5.138
ATOMIC_POSITIONS crystal
Zr 0.500 0.500 0.500
Hg 0.000 0.500 0.000
Hg 0.000 0.000 0.500
Hg 0.500 0.000 0.000
Pt 0.000 0.000 0.000

---

No. 10
A relaxed ZrHgPt2 crystal, computed with PBE-GGA. Values from VASP.

Geometry as Quantum ESPRESSO input:
```
&SYSTEM
  ibrav = 0, nat = 4, ntyp = 3
/
ATOMIC_SPECIES
Hg 200.59 Hg.upf
Pt 195.08 Pt.upf
Zr 91.22 Zr.upf
CELL_PARAMETERS angstrom
-4.017 -0.528 2.373
-2.142 -4.177 0.090
-0.072 -2.517 3.963
ATOMIC_POSITIONS crystal
Hg 0.500 0.500 0.500
Pt 0.000 0.000 0.000
Pt 0.250 0.250 0.250
Zr 0.750 0.750 0.750
```

---

No. 11
! PBE-GGA ZrHg2Pt, optimized geometry; values from VASP
! - Excess energy over the best structure of this formula in the dataset: 125 meV/atom
&SYSTEM
  ibrav = 0, nat = 4, ntyp = 3
/
ATOMIC_SPECIES
Zr 91.22 Zr.upf
Hg 200.59 Hg.upf
Pt 195.08 Pt.upf
CELL_PARAMETERS angstrom
0.000 3.391 3.391
3.391 0.000 3.391
3.391 3.391 0.000
ATOMIC_POSITIONS crystal
Zr 0.000 0.000 0.000
Hg 0.250 0.250 0.250
Hg 0.750 0.750 0.750
Pt 0.500 0.500 0.500

---

No. 12
! PBE-GGA ZrHg2Pt, optimized geometry; values from VASP
! - Excess energy over the best structure of this formula in the dataset: 139 meV/atom
&SYSTEM
  ibrav = 0, nat = 4, ntyp = 3
/
ATOMIC_SPECIES
Hg 200.59 Hg.upf
Pt 195.08 Pt.upf
Zr 91.22 Zr.upf
CELL_PARAMETERS angstrom
5.176 -0.005 0.011
3.994 3.293 0.011
1.166 0.418 4.749
ATOMIC_POSITIONS crystal
Hg 0.006 0.006 0.990
Hg 0.494 0.494 0.510
Pt 0.750 0.750 0.750
Zr 0.250 0.250 0.250

---

| no. | formation energy (eV/atom) |
| --- | --- |
| 1 | 0.350 |
| 2 | -0.164 |
| 3 | 0.140 |
| 4 | -0.196 |
| 5 | -0.628 |
| 6 | -0.612 |
| 7 | -0.020 |
| 8 | -0.013 |
| 9 | 0.552 |
| 10 | -0.449 |
| 11 | -0.219 |
| 12 | -0.204 |